This record from Alexandria via LeMat-Bulk describes crystalline CoNi2Cl at its relaxed geometry. The functional is PBE-GGA.

V = 12.44 A^3/atom
Space group = Immm (71)
Relative energy among the computed polymorphs = 322 meV/atom
Uncorrected formation energy = 0.54 eV per atom
M_tot = 2.9 Bohr magnetons per cell

The structure in POSCAR format:
```
CoNi2Cl
1.0
-1.378 2.148 4.201
1.378 -2.148 4.201
1.378 2.148 -4.201
Co Ni Cl
1 2 1
direct
0.000 0.000 0.000
0.259 0.759 0.500
0.741 0.241 0.500
0.500 0.500 0.000
```


This record from Alexandria via LeMat-Bulk describes crystalline Ta2TlTe at its relaxed geometry. The functional is PBE-GGA.

V = 21.77 A^3/atom
Space group = Pm (6)
Relative energy among the computed polymorphs = 257 meV/atom
Uncorrected formation energy = 0.43 eV per atom
M_tot = 0.0 Bohr magnetons per cell

The structure in POSCAR format:
```
Ta2TlTe
1.0
3.215 0.000 0.000
0.000 5.048 0.000
-1.603 0.000 5.367
Ta Tl Te
2 1 1
direct
0.000 0.000 0.000
0.394 0.500 0.793
0.740 0.000 0.485
0.107 0.500 0.220
```


This record from Alexandria via LeMat-Bulk describes crystalline ZnIrCl2 at its relaxed geometry. The functional is PBE-GGA.

V = 16.74 A^3/atom
Space group = P4/mmm (123)
Relative energy among the computed polymorphs = 929 meV/atom
Uncorrected formation energy = 0.72 eV per atom
M_tot = 0.0 Bohr magnetons per cell

The structure in POSCAR format:
```
ZnIrCl2
1.0
4.659 0.000 0.000
0.000 4.659 0.000
0.000 0.000 3.085
Zn Ir Cl
1 1 2
direct
0.000 0.000 0.000
0.500 0.500 0.000
0.000 0.500 0.500
0.500 0.000 0.500
```


This record from Alexandria via LeMat-Bulk describes crystalline Pm2As at its relaxed geometry. The functional is PBE-GGA.

V = 27.87 A^3/atom
Space group = Fmmm (69)
M_tot = 0.8 Bohr magnetons per cell
Formation enthalpy at 0 K = -0.71 eV/atom

The structure in POSCAR format:
```
Pm2As
1.0
0.000 2.704 5.724
2.700 0.000 5.724
2.700 2.704 0.000
Pm As
2 1
direct
0.140 0.140 0.860
0.860 0.860 0.140
0.500 0.500 0.500
```


This record from Alexandria via LeMat-Bulk describes crystalline Y2MgCd at its relaxed geometry. The functional is PBE-GGA.

V = 28.65 A^3/atom
Space group = R3m (160)
M_tot = 0.0 Bohr magnetons per cell
Formation enthalpy at 0 K = -0.04 eV/atom

The structure in POSCAR format:
```
Y2MgCd
1.0
1.774 1.024 10.511
-1.774 1.024 10.511
0.000 -2.049 10.511
Y Mg Cd
2 1 1
direct
0.000 0.000 0.000
0.174 0.174 0.174
0.421 0.421 0.421
0.587 0.587 0.587
```


This record from Alexandria via LeMat-Bulk describes crystalline La3Ga3Ni2 at its relaxed geometry. The functional is PBE-GGA.

V = 22.35 A^3/atom
Space group = Cmcm (63)
M_tot = 0.0 Bohr magnetons per cell
Formation enthalpy at 0 K = -0.55 eV/atom

The structure in POSCAR format:
```
La3Ga3Ni2
1.0
2.091 -5.565 0.000
2.091 5.565 0.000
0.000 0.000 15.367
La Ga Ni
6 6 4
direct
0.060 0.940 0.604
0.060 0.940 0.896
0.340 0.660 0.750
0.660 0.340 0.250
0.940 0.060 0.104
0.940 0.060 0.396
0.335 0.665 0.537
0.335 0.665 0.963
0.365 0.635 0.250
0.635 0.365 0.750
0.665 0.335 0.037
0.665 0.335 0.463
0.232 0.768 0.112
0.232 0.768 0.388
0.768 0.232 0.612
0.768 0.232 0.888
```